Arrangement A

Material: TeIrW
Method: DFT, meta-GGA SCAN
State: single point on PBEsol structure

a b c (Å): 2.9511 4.4773 4.4773
angles (deg): 120.00 90.00 90.00
Last column: nearest neighbours and their distance in Å.
Fractional positions:
Te  0.6463  0.3333  0.6667  3 W 2.67, 3 Ir 2.73, 2 Te 2.95
W  0.4148  0.6667  0.3333  3 Te 2.67, 3 Ir 2.94, 2 W 2.95
Ir  0.9389  0.0000  0.0000  3 Te 2.73, 6 W 2.94-3.01, 2 Ir 2.95

Arrangement B

Material: TeIrW
Method: DFT, meta-GGA SCAN
State: single point on PBEsol structure

a b c (Å): 4.3716 4.3716 4.3716
angles (deg): 60.00 60.00 60.00
Last column: nearest neighbours and their distance in Å.
Fractional positions:
Te  0.5000  0.5000  0.5000  4 W 2.68
Ir  0.0000  0.0000  0.0000  4 W 2.68
W  0.2500  0.2500  0.2500  4 Te 2.68, 4 Ir 2.68

Verdict on stability: arrangement B comes out on top.

Arrangement A

Material: LiHfNb3
Method: DFT, meta-GGA SCAN
State: single point on PBEsol structure

a b c (Å): 4.9030 4.9030 4.9030
angles (deg): 90.00 90.00 90.00
Last column: nearest neighbours and their distance in Å.
Fractional positions:
Nb  0.0000  0.5000  0.0000  2 Hf 2.45
Nb  0.5000  0.0000  0.0000  2 Hf 2.45
Nb  0.0000  0.0000  0.5000  2 Hf 2.45
Li  0.5000  0.5000  0.5000  12 Nb 3.47
Hf  0.0000  0.0000  0.0000  6 Nb 2.45

Arrangement B

Material: LiHfNb3
Method: DFT, meta-GGA SCAN
State: single point on PBEsol structure

a b c (Å): 4.4616 4.4616 4.4616
angles (deg): 90.00 90.00 90.00
Last column: nearest neighbours and their distance in Å.
Fractional positions:
Nb  0.0000  0.5000  0.0000  2 Li 2.23
Nb  0.5000  0.0000  0.0000  2 Li 2.23
Nb  0.0000  0.0000  0.5000  2 Li 2.23
Hf  0.5000  0.5000  0.5000  12 Nb 3.15
Li  0.0000  0.0000  0.0000  6 Nb 2.23

Verdict on stability: arrangement B comes out on top.